Here is crystalline SbAs2Os at its relaxed geometry from the Alexandria database. Energies are from PBE.

- ΔE_f (raw): 0.565 eV per atom
- SG: Cmm2, No. 35

```
SbAs2Os
1.0
3.068 0.000 0.000
0.000 5.210 0.000
0.000 0.000 9.885
Sb As Os
2 4 2
direct
0.000 0.000 0.000
0.500 0.500 0.000
0.000 0.000 0.436
0.000 0.500 0.716
0.500 0.000 0.716
0.500 0.500 0.436
0.000 0.500 0.240
0.500 0.000 0.240
```

=====

Here is crystalline SbAsOs3 at its relaxed geometry from the Alexandria database. Energies are from PBE.

- ΔE_f (raw): 2.526 eV per atom
- SG: Pm-3m, No. 221
- Polymorph energy (0 for the lowest one): 1009 meV/atom

```
SbAsOs3
1.0
4.820 0.000 0.000
0.000 4.820 0.000
0.000 0.000 4.820
Sb As Os
1 1 3
direct
0.000 0.000 0.000
0.500 0.500 0.500
0.000 0.000 0.500
0.000 0.500 0.000
0.500 0.000 0.000
```

=====

Repeat the first record exactly.
Here is crystalline SbAs2Os at its relaxed geometry from the Alexandria database. Energies are from PBE.

- ΔE_f (raw): 0.565 eV per atom
- SG: Cmm2, No. 35

```
SbAs2Os
1.0
3.068 0.000 0.000
0.000 5.210 0.000
0.000 0.000 9.885
Sb As Os
2 4 2
direct
0.000 0.000 0.000
0.500 0.500 0.000
0.000 0.000 0.436
0.000 0.500 0.716
0.500 0.000 0.716
0.500 0.500 0.436
0.000 0.500 0.240
0.500 0.000 0.240
```